# 1
## CsKHfCu2 (PBE)

Data for CsKHfCu2 after structural relaxation.

Lattice parameters (Å, degrees): 6.0706 6.0706 6.1679 90.00 90.00 90.00
With the nearest neighbours (Å) after each atom.
Space group P4/mmm (No. 123)
Unique sites:
Cs  0.0000  0.0000  0.0000 [1 per cell]  4 Cu 3.04, 2 Hf 3.08
K  0.5000  0.5000  0.5000 [1 per cell]  4 Hf 4.29, 8 Cu 4.33
Hf  0.0000  0.0000  0.5000 [1 per cell]  2 Cs 3.08
Cu  0.0000  0.5000  0.0000 [2 per cell]  2 Cs 3.04

energy of formation: 1842.1 meV per atom


# 2
## Cs2HfCuS (PBE)

Data for Cs2HfCuS after structural relaxation.

Lattice parameters (Å, degrees): 7.2142 7.2142 4.1527 90.00 90.00 90.00
With the nearest neighbours (Å) after each atom.
Space group P4/mmm (No. 123)
Unique sites:
Cs  0.0000  0.5000  0.0000 [2 per cell]  2 S 3.61
Hf  0.0000  0.0000  0.5000 [1 per cell]  2 Hf 4.15, 8 Cs 4.16
Cu  0.5000  0.5000  0.5000 [1 per cell]  2 S 2.08
S  0.5000  0.5000  0.0000 [1 per cell]  2 Cu 2.08

energy relative to the elements, uncorrected: 0.563 eV/atom


# 3
## CsHfCuSe3 (PBE)

Data for CsHfCuSe3 after structural relaxation.

Lattice parameters (Å, degrees): 9.4067 3.9405 10.1441 90.00 115.83 90.00
With the nearest neighbours (Å) after each atom.
Space group P2_1/m (No. 11)
Unique sites:
Cs  0.2323  0.2500  0.2603 [2 per cell]  7 Se 3.62-3.76, 2 Cs 3.94
Hf  0.3125  0.7500  0.8355 [2 per cell]  6 Se 2.61-2.78
Cu  0.0843  0.2500  0.6019 [2 per cell]  4 Se 2.45-2.55
Se  0.1281  0.2500  0.8580 [2 per cell]  1 Cu 2.45, 2 Hf 2.70
Se  0.2146  0.7500  0.5519 [2 per cell]  3 Cu 2.49-2.55, 1 Hf 2.61
Se  0.4760  0.7500  0.1397 [2 per cell]  3 Hf 2.73-2.78

energy relative to the elements, uncorrected: -1.129 eV/atom


| no. | VASP energy (eV/cell) | N(E_F) (states/eV per atom) |
| --- | --- | --- |
| 1 | -10.89 | 0.51 |
| 2 | -17.07 | 0.79 |
| 3 | -64.26 | 0.00 |